Entry 1:
Computed, not measured: a relaxed MnZnNiP2O9 crystal at the GGA-PBEsol level of DFT.

Lattice parameters (Å, degrees): 13.908 6.062 7.225 90.00 90.00 90.00
Space group Pnma (No. 62)
Symmetry-distinct sites (fractional):
Mn1 0.118 0.250 0.157 [4 per cell]
Zn1 0.215 0.250 0.663 [4 per cell]
Ni1 0.000 0.000 0.500 [4 per cell]
P1 0.065 0.750 0.141 [4 per cell]
P2 0.199 0.750 0.600 [4 per cell]
O1 0.004 0.250 0.019 [4 per cell]
O2 0.011 0.750 0.327 [4 per cell]
O3 0.048 0.250 0.358 [4 per cell]
O4 0.138 0.557 0.135 [8 per cell]
O5 0.140 0.534 0.599 [8 per cell]
O6 0.224 0.250 0.942 [4 per cell]
O7 0.237 0.250 0.279 [4 per cell]

## Properties
- DOS at the Fermi energy: 10.0 states/eV per cell
- Total DFT energy (no corrections): -7.181 eV/atom

=====

Entry 2:
Computed, not measured: a relaxed Tc2MoPt crystal at the GGA-PBEsol level of DFT.

Lattice parameters (Å, degrees): 3.873 3.873 7.684 90.00 90.00 90.00
Space group I-4m2 (No. 119)
Symmetry-distinct sites (fractional):
Tc1 0.000 0.000 0.000 [2 per cell]
Tc2 0.000 0.500 0.250 [2 per cell]
Mo1 0.000 0.500 0.750 [2 per cell]
Pt1 0.000 0.000 0.500 [2 per cell]

## Properties
- DOS at the Fermi energy: 6.1 states/eV per cell
- Total DFT energy (no corrections): -10.468 eV/atom
- Offset from the most stable computed form: 0.025 eV per atom

=====

Entry 3:
Computed, not measured: a relaxed La2AgIr crystal at the GGA-PBEsol level of DFT.

Lattice parameters (Å, degrees): 7.243 7.243 7.243 90.00 90.00 90.00
Space group Fm-3m (No. 225)
Symmetry-distinct sites (fractional):
La1 0.250 0.250 0.250 [8 per cell]
Ag1 0.000 0.000 0.000 [4 per cell]
Ir1 0.000 0.000 0.500 [4 per cell]

## Properties
- DOS at the Fermi energy: 12.9 states/eV per cell
- Total DFT energy (no corrections): -6.366 eV/atom
- Offset from the most stable computed form: 0.020 eV per atom

=====

Entry 4:
Computed, not measured: a relaxed Nb2InReO crystal at the GGA-PBEsol level of DFT.

Lattice parameters (Å, degrees): 4.114 4.114 4.621 90.00 90.00 90.00
Space group P4/mmm (No. 123)
Symmetry-distinct sites (fractional):
Nb1 0.000 0.500 0.000 [2 per cell]
In1 0.000 0.000 0.500 [1 per cell]
Re1 0.500 0.500 0.500 [1 per cell]
O1 0.000 0.000 0.000 [1 per cell]

## Properties
- DOS at the Fermi energy: 4.7 states/eV per cell
- Total DFT energy (no corrections): -8.872 eV/atom

=====

Entry 5:
Computed, not measured: a relaxed CaMnTc2 crystal at the GGA-PBEsol level of DFT.

Lattice parameters (Å, degrees): 9.163 3.020 5.277 90.00 106.43 90.00
Space group Cm (No. 8)
Symmetry-distinct sites (fractional):
Ca1 0.000 0.000 0.000 [2 per cell]
Mn1 0.216 0.000 0.655 [2 per cell]
Tc1 0.006 0.500 0.505 [2 per cell]
Tc2 0.285 0.500 0.353 [2 per cell]

## Properties
- DOS at the Fermi energy: 7.7 states/eV per cell
- Total DFT energy (no corrections): -8.046 eV/atom
- Offset from the most stable computed form: 0.000 eV per atom

=====

Entry 6:
Computed, not measured: a relaxed CrPdN3 crystal at the GGA-PBEsol level of DFT.

Lattice parameters (Å, degrees): 3.862 3.862 3.862 90.00 90.00 90.00
Space group Pm-3m (No. 221)
Symmetry-distinct sites (fractional):
Cr1 0.000 0.000 0.000 [1 per cell]
Pd1 0.500 0.500 0.500 [1 per cell]
N1 0.000 0.500 0.500 [3 per cell]

## Properties
- DOS at the Fermi energy: 1.7 states/eV per cell
- Total DFT energy (no corrections): -6.619 eV/atom

=====

Entry 7:
Computed, not measured: a relaxed K2PbAu crystal at the GGA-PBEsol level of DFT.

Lattice parameters (Å, degrees): 4.226 4.328 6.725 90.00 90.06 90.00
Space group P2/m (No. 10)
Symmetry-distinct sites (fractional):
K1 0.001 0.000 0.270 [2 per cell]
Pb1 0.500 0.500 0.000 [1 per cell]
Au1 0.500 0.500 0.500 [1 per cell]

## Properties
- DOS at the Fermi energy: 1.3 states/eV per cell
- Total DFT energy (no corrections): -2.576 eV/atom

=====

Entry 8:
Computed, not measured: a relaxed CrHgRh2 crystal at the GGA-PBEsol level of DFT.

Lattice parameters (Å, degrees): 9.086 2.836 4.711 90.00 101.87 90.00
Space group Cm (No. 8)
Symmetry-distinct sites (fractional):
Cr1 0.000 0.000 0.000 [2 per cell]
Hg1 0.259 0.500 0.300 [2 per cell]
Rh1 0.018 0.500 0.560 [2 per cell]
Rh2 0.266 0.000 0.808 [2 per cell]

## Properties
- DOS at the Fermi energy: 8.2 states/eV per cell
- Total DFT energy (no corrections): -6.545 eV/atom

=====

Entry 9:
Computed, not measured: a relaxed Sc2ZnIr crystal at the GGA-PBEsol level of DFT.

Lattice parameters (Å, degrees): 4.619 4.619 3.162 90.00 90.00 90.00
Space group P4/mmm (No. 123)
Symmetry-distinct sites (fractional):
Sc1 0.000 0.500 0.000 [2 per cell]
Zn1 0.000 0.000 0.500 [1 per cell]
Ir1 0.500 0.500 0.500 [1 per cell]

## Properties
- DOS at the Fermi energy: 2.2 states/eV per cell
- Total DFT energy (no corrections): -6.861 eV/atom
- Offset from the most stable computed form: 0.010 eV per atom

=====

Entry 10:
Computed, not measured: a relaxed NdAl3Ni2 crystal at the GGA-PBEsol level of DFT.

Lattice parameters (Å, degrees): 5.2896 5.2896 3.9775 90.00 90.00 120.00
Space group P6/mmm (No. 191)
Symmetry-distinct sites (fractional):
Nd1 0.0000 0.0000 0.0000 [1 per cell]
Al1 0.0000 0.5000 0.5000 [3 per cell]
Ni1 0.3333 0.6667 0.0000 [2 per cell]

## Properties
- DOS at the Fermi energy: 3.9 states/eV per cell
- Total DFT energy (no corrections): -5.564 eV/atom

=====

Entry 11:
Computed, not measured: a relaxed SbP2CS crystal at the GGA-PBEsol level of DFT.

Lattice parameters (Å, degrees): 4.183 4.183 4.142 90.00 90.00 90.00
Space group P4/mmm (No. 123)
Symmetry-distinct sites (fractional):
Sb1 0.000 0.000 0.000 [1 per cell]
P1 0.000 0.500 0.500 [2 per cell]
C1 0.500 0.500 0.500 [1 per cell]
S1 0.500 0.500 0.000 [1 per cell]

## Properties
- DOS at the Fermi energy: 3.0 states/eV per cell
- Total DFT energy (no corrections): -5.101 eV/atom

=====

Entry 12:
Computed, not measured: a relaxed Li2V2OF6 crystal at the GGA-PBEsol level of DFT.

Lattice parameters (Å, degrees): 5.171 6.745 8.317 70.26 76.76 84.36
Space group P1 (No. 1)
Symmetry-distinct sites (fractional):
Li1 0.000 0.000 0.000 [1 per cell]
Li2 0.176 0.738 0.667 [1 per cell]
Li3 0.452 0.768 0.172 [1 per cell]
Li4 0.664 0.514 0.815 [1 per cell]
V1 0.041 0.455 0.116 [1 per cell]
V2 0.118 0.279 0.579 [1 per cell]
V3 0.482 0.244 0.242 [1 per cell]
V4 0.584 0.036 0.735 [1 per cell]
O1 0.145 0.338 0.335 [1 per cell]
O2 0.255 0.143 0.774 [1 per cell]
F1 0.158 0.734 0.088 [1 per cell]
F2 0.206 0.558 0.543 [1 per cell]
F3 0.388 0.970 0.274 [1 per cell]
F4 0.404 0.368 0.005 [1 per cell]
F5 0.496 0.767 0.730 [1 per cell]
F6 0.519 0.168 0.487 [1 per cell]
F7 0.663 0.515 0.208 [1 per cell]
F8 0.679 0.934 0.960 [1 per cell]
F9 0.752 0.318 0.693 [1 per cell]
F10 0.868 0.186 0.139 [1 per cell]
F11 0.962 0.565 0.883 [1 per cell]
F12 0.962 0.992 0.620 [1 per cell]

## Properties
- DOS at the Fermi energy: 7.3 states/eV per cell
- Total DFT energy (no corrections): -6.400 eV/atom

=====

total DFT energy (no corrections) of number 8 (CrHgRh2)? -6.545 eV/atom

=====

Repeat the third record exactly.
Computed, not measured: a relaxed La2AgIr crystal at the GGA-PBEsol level of DFT.

Lattice parameters (Å, degrees): 7.243 7.243 7.243 90.00 90.00 90.00
Space group Fm-3m (No. 225)
Symmetry-distinct sites (fractional):
La1 0.250 0.250 0.250 [8 per cell]
Ag1 0.000 0.000 0.000 [4 per cell]
Ir1 0.000 0.000 0.500 [4 per cell]

## Properties
- DOS at the Fermi energy: 12.9 states/eV per cell
- Total DFT energy (no corrections): -6.366 eV/atom
- Offset from the most stable computed form: 0.020 eV per atom

=====

Copy entry 11 word for word.
Computed, not measured: a relaxed SbP2CS crystal at the GGA-PBEsol level of DFT.

Lattice parameters (Å, degrees): 4.183 4.183 4.142 90.00 90.00 90.00
Space group P4/mmm (No. 123)
Symmetry-distinct sites (fractional):
Sb1 0.000 0.000 0.000 [1 per cell]
P1 0.000 0.500 0.500 [2 per cell]
C1 0.500 0.500 0.500 [1 per cell]
S1 0.500 0.500 0.000 [1 per cell]

## Properties
- DOS at the Fermi energy: 3.0 states/eV per cell
- Total DFT energy (no corrections): -5.101 eV/atom